Record 1
A relaxed structure of La5Sn2Bi. Source: Alexandria, functional PBE-GGA.

Formation energy from the elements, meV/atom: -722

a = 8.6058 Å, b = 8.6058 Å, c = 9.4757 Å
α = 117.01°, β = 117.01°, γ = 90.00°
With the nearest neighbours (Å) after each atom.
Fractional positions:
Sn1 0.3645 0.8645 0.0000  8 La 3.28-3.36, 1 Sn 3.30
Sn2 0.8645 0.6355 0.0000  8 La 3.28-3.36, 1 Sn 3.30
Sn3 0.6355 0.1355 0.0000  8 La 3.28-3.36, 1 Sn 3.30
Sn4 0.1355 0.3645 0.0000  8 La 3.28-3.36, 1 Sn 3.30
La1 0.8109 0.9865 0.2974  3 Sn 3.28-3.36, 2 Bi 3.54, 1 La 3.64
La2 0.1891 0.0135 0.7026  3 Sn 3.28-3.36, 2 Bi 3.54, 1 La 3.64
La3 0.0000 0.0000 0.0000  4 Sn 3.35, 2 Bi 3.63
La4 0.0135 0.5135 0.7026  3 Sn 3.28-3.36, 2 Bi 3.54, 1 La 3.64
La5 0.5000 0.5000 0.0000  4 Sn 3.35, 2 Bi 3.63
La6 0.3109 0.8109 0.2974  3 Sn 3.28-3.36, 2 Bi 3.54, 1 La 3.64
La7 0.6891 0.1891 0.7026  3 Sn 3.28-3.36, 2 Bi 3.54, 1 La 3.64
La8 0.9865 0.4865 0.2974  3 Sn 3.28-3.36, 2 Bi 3.54, 1 La 3.64
La9 0.4865 0.3109 0.2974  3 Sn 3.28-3.36, 2 Bi 3.54, 1 La 3.64
La10 0.5135 0.6891 0.7026  3 Sn 3.28-3.36, 2 Bi 3.54, 1 La 3.64
Bi1 0.7500 0.7500 0.5000  10 La 3.54-3.63
Bi2 0.2500 0.2500 0.5000  10 La 3.54-3.63



Record 2
A relaxed structure of CdCu3Ge. Source: Alexandria, functional PBE-GGA.

E above lowest polymorph, eV/atom: 0.221
Formation energy from the elements, meV/atom: 431

a = 4.5361 Å, b = 4.5361 Å, c = 4.5361 Å
α = 90.00°, β = 90.00°, γ = 90.00°
With the nearest neighbours (Å) after each atom.
Fractional positions:
Ge1 0.0000 0.0000 0.0000  6 Cu 2.27
Cd1 0.5000 0.5000 0.5000  12 Cu 3.21
Cu1 0.0000 0.0000 0.5000  2 Ge 2.27
Cu2 0.0000 0.5000 0.0000  2 Ge 2.27
Cu3 0.5000 0.0000 0.0000  2 Ge 2.27



Record 3
A relaxed structure of LaGa2Ir. Source: Alexandria, functional PBE-GGA.

Formation energy from the elements, meV/atom: -698

a = 4.4783 Å, b = 6.9630 Å, c = 10.7565 Å
α = 90.00°, β = 90.00°, γ = 90.00°
With the nearest neighbours (Å) after each atom.
Fractional positions:
Ga1 0.2500 0.8677 0.8159  2 Ir 2.49-2.57, 2 Ga 2.77
Ga2 0.7500 0.2046 0.5757  3 Ir 2.50-2.61, 2 Ga 2.77
Ga3 0.2500 0.2954 0.0757  3 Ir 2.50-2.61, 2 Ga 2.77
Ga4 0.2500 0.7954 0.4243  3 Ir 2.50-2.61, 2 Ga 2.77
Ga5 0.7500 0.7046 0.9243  3 Ir 2.50-2.61, 2 Ga 2.77
Ga6 0.7500 0.1323 0.1841  2 Ir 2.49-2.57, 2 Ga 2.77
Ga7 0.7500 0.6323 0.3159  2 Ir 2.49-2.57, 2 Ga 2.77
Ga8 0.2500 0.3677 0.6841  2 Ir 2.49-2.57, 2 Ga 2.77
La1 0.2500 0.3039 0.3687  9 Ga 3.15-3.47, 3 Ir 3.19-3.23
La2 0.7500 0.6961 0.6313  9 Ga 3.15-3.47, 3 Ir 3.19-3.23
La3 0.7500 0.1961 0.8687  9 Ga 3.15-3.47, 3 Ir 3.19-3.23
La4 0.2500 0.8039 0.1313  9 Ga 3.15-3.47, 3 Ir 3.19-3.23
Ir1 0.2500 0.0193 0.6061  5 Ga 2.49-2.61
Ir2 0.7500 0.4807 0.1061  5 Ga 2.49-2.61
Ir3 0.2500 0.5193 0.8939  5 Ga 2.49-2.61
Ir4 0.7500 0.9807 0.3939  5 Ga 2.49-2.61



Record 4
A relaxed structure of MgCo4As. Source: Alexandria, functional PBE-GGA.

Formation energy from the elements, meV/atom: 123

a = 4.8327 Å, b = 4.8327 Å, c = 4.8327 Å
α = 60.00°, β = 60.00°, γ = 60.00°
With the nearest neighbours (Å) after each atom.
Fractional positions:
Co1 0.3750 0.3750 0.8751  6 Co 2.42
Co2 0.3750 0.3750 0.3750  6 Co 2.42
Co3 0.3750 0.8751 0.3750  6 Co 2.42
Co4 0.8751 0.3750 0.3750  6 Co 2.42
Mg1 0.7500 0.7500 0.7500  12 Co 2.83, 4 As 2.96
As1 0.0000 0.0000 0.0000  12 Co 2.83, 4 Mg 2.96



Record 5
A relaxed structure of Na2Mg2Hg5. Source: Alexandria, functional PBE-GGA.

Formation energy from the elements, meV/atom: -145

a = 7.7256 Å, b = 7.7243 Å, c = 8.7463 Å
α = 116.20°, β = 90.00°, γ = 90.00°
With the nearest neighbours (Å) after each atom.
Fractional positions:
Hg1 0.6508 0.2753 0.2566  3 Mg 2.98-3.07, 3 Na 3.10-3.19, 1 Hg 3.25
Hg2 0.0000 0.0000 0.0000  4 Mg 2.93-2.96, 2 Na 3.19
Hg3 0.1508 0.2247 0.7434  3 Mg 2.98-3.07, 3 Na 3.10-3.19, 1 Hg 3.25
Hg4 0.5000 0.5000 0.0000  4 Mg 2.93-2.96, 2 Na 3.19
Hg5 0.8492 0.5187 0.7434  3 Mg 2.98-3.07, 3 Na 3.10-3.19, 1 Hg 3.25
Hg6 0.3492 0.7247 0.7434  3 Mg 2.98-3.07, 3 Na 3.10-3.19, 1 Hg 3.25
Hg7 0.3492 0.9813 0.2566  3 Mg 2.98-3.07, 3 Na 3.10-3.19, 1 Hg 3.25
Hg8 0.1508 0.4813 0.2566  3 Mg 2.98-3.07, 3 Na 3.10-3.19, 1 Hg 3.25
Hg9 0.6508 0.0187 0.7434  3 Mg 2.98-3.07, 3 Na 3.10-3.19, 1 Hg 3.25
Hg10 0.8492 0.7753 0.2566  3 Mg 2.98-3.07, 3 Na 3.10-3.19, 1 Hg 3.25
Mg1 0.3517 0.1507 0.0000  8 Hg 2.93-3.07, 1 Mg 3.27
Mg2 0.8517 0.3493 0.0000  8 Hg 2.93-3.07, 1 Mg 3.27
Mg3 0.1483 0.6507 0.0000  8 Hg 2.93-3.07, 1 Mg 3.27
Mg4 0.6483 0.8493 0.0000  8 Hg 2.93-3.07, 1 Mg 3.27
Na1 0.5000 0.2966 0.5931  7 Hg 3.10-3.19
Na2 0.0000 0.7966 0.5931  7 Hg 3.10-3.19
Na3 0.5000 0.7034 0.4069  7 Hg 3.10-3.19
Na4 0.0000 0.2034 0.4069  7 Hg 3.10-3.19



Record 6
A relaxed structure of ReTeAsI2. Source: Alexandria, functional PBE-GGA.

E above lowest polymorph, eV/atom: 0.403
Formation energy from raw total energies, meV per atom: 1387

a = 5.5522 Å, b = 5.5522 Å, c = 5.7143 Å
α = 90.00°, β = 90.00°, γ = 90.00°
With the nearest neighbours (Å) after each atom.
Fractional positions:
Re1 0.5000 0.5000 0.5000  4 Te 3.93, 8 I 3.98
As1 0.0000 0.0000 0.0000  4 I 2.78, 2 Te 2.86
I1 0.5000 0.0000 0.0000  2 As 2.78
I2 0.0000 0.5000 0.0000  2 As 2.78
Te1 0.0000 0.0000 0.5000  2 As 2.86